Computed, not measured: an optimized crystal structure of SmIn2Ga at the PBE-GGA level of DFT.

Its size of the total moment is 0.00 μB per atom. The raw total energy is -3.57 eV/atom. As for the crystal system: tetragonal. The calculation puts the formation energy at -0.262 eV/atom.

Cell lengths 3.7766, 3.7766, 7.0169 Å; angles 90.00, 90.00, 90.00 degrees
With the nearest neighbours (Å) after each atom.
Sites, in units of the cell vectors:
Sm  0.0000  0.0000  0.0000  8 In 3.34, 2 Ga 3.51
In  0.5000  0.5000  0.2848  1 In 3.02, 4 Ga 3.07, 4 Sm 3.34
In  0.5000  0.5000  0.7152  1 In 3.02, 4 Ga 3.07, 4 Sm 3.34
Ga  0.0000  0.0000  0.5000  8 In 3.07